Below is crystalline Hf2NbCrPt at its relaxed geometry, with properties calculated at the PBE-GGA level.

a b c (Å): 4.986 4.986 4.885
angles (deg): 90.00 90.00 90.00
Fractional positions:
Hf 0.000 0.500 0.000
Hf 0.500 0.000 0.000
Nb 0.000 0.000 0.500
Cr 0.500 0.500 0.500
Pt 0.000 0.000 0.000

## Properties
Energy of formation   1.12 eV per atom
E_tot   -8.01 eV per atom
V   24.29 Å³/atom